--- one ---
DFT (GGA-PBE) results for a relaxed CrNi2Ag crystal.

a = 3.834 Å, b = 3.836 Å, c = 3.606 Å
α = 90.00°, β = 90.00°, γ = 90.00°
Last column: magnetic moment on the atom in μB.
Fractional positions:
Ag  0.500  0.000  0.500  0.05
Ni  0.500  0.500  0.000  0.01
Ni  0.000  0.000  0.000  0.01
Cr  0.000  0.500  0.500  2.98

Results
As for the calculated volume: 13.3 Å³/atom. Its space group is P4/mmm. As for the density: 8.7 g cm⁻³.

---

--- two ---
DFT (GGA-PBE) results for a relaxed CrNi2Ag crystal.

a = 4.364 Å, b = 4.364 Å, c = 4.846 Å
α = 81.44°, β = 81.44°, γ = 34.75°
Last column: magnetic moment on the atom in μB.
Fractional positions:
Cr  0.250  0.250  0.250  1.09
Ag  0.750  0.750  0.750  0.01
Ni  0.506  0.506  0.466  0.08
Ni  0.994  0.994  0.034  0.08

Results
As for the calculated volume: 13.0 Å³/atom. Its space group is C2/m. As for the density: 8.9 g cm⁻³.

---

Here are the energies relative to the best structure, in meV/atom: one 0; two 71.

---

--- one ---
DFT (GGA-PBE) results for a relaxed CrNi2Ag crystal.

a = 4.491 Å, b = 4.491 Å, c = 4.491 Å
α = 129.44°, β = 129.34°, γ = 74.38°
Last column: magnetic moment on the atom in μB.
Fractional positions:
Cr  0.250  0.750  0.500  2.69
Ag  0.750  0.250  0.500  0.03
Ni  0.000  0.000  0.000  -0.04
Ni  0.500  0.500  0.000  -0.04

Results
As for the calculated volume: 13.2 Å³/atom. Its space group is I4/mmm. As for the density: 8.7 g cm⁻³.

---

--- two ---
DFT (GGA-PBE) results for a relaxed CrNi2Ag crystal.

a = 2.987 Å, b = 2.917 Å, c = 6.707 Å
α = 64.14°, β = 90.00°, γ = 90.00°
Last column: magnetic moment on the atom in μB.
Fractional positions:
Ag  0.500  0.250  0.250  0.01
Cr  0.500  0.750  0.750  2.05
Ni  0.000  0.463  0.537  0.36
Ni  0.000  0.037  0.963  0.36

Results
As for the calculated volume: 13.1 Å³/atom. Its space group is P2/m. As for the density: 8.8 g cm⁻³.

---

Here are the energies relative to the best structure, in meV/atom: one 93; two 0.

---

--- one ---
DFT (GGA-PBE) results for a relaxed CrNiAg crystal.

a = 5.523 Å, b = 5.523 Å, c = 5.523 Å
α = 149.68°, β = 149.67°, γ = 43.41°
Last column: magnetic moment on the atom in μB.
Fractional positions:
Ni  0.684  0.684  0.000  0.26
Ag  0.005  0.005  0.000  0.04
Cr  0.311  0.311  0.000  2.53

Results
As for the calculated volume: 14.3 Å³/atom. Its space group is I4mm. As for the density: 8.5 g cm⁻³.

---

--- two ---
DFT (GGA-PBE) results for a relaxed CrNiAg crystal.

a = 2.662 Å, b = 2.662 Å, c = 6.646 Å
α = 90.00°, β = 90.00°, γ = 120.00°
Last column: magnetic moment on the atom in μB.
Fractional positions:
Cr  0.667  0.333  0.360  0.55
Ag  0.000  0.000  0.996  0.01
Ni  0.333  0.667  0.644  0.20

Results
As for the calculated volume: 13.6 Å³/atom. Its space group is P3m1. As for the density: 8.9 g cm⁻³.

---

Here are the energies relative to the best structure, in meV/atom: one 0; two 51.